a | VASP calculation (PBE) on a relaxed structure of Nd2DyTl.

The structure in CIF format:
```
data_Nd2DyTl
_cell_length_a 4.9123
_cell_length_b 4.9123
_cell_length_c 5.0264
_cell_angle_alpha 90.00
_cell_angle_beta 90.00
_cell_angle_gamma 90.00
_space_group_name_H-M_alt 'P 4/m m m'
_space_group_IT_number 123
_space_group_name_Hall '-P 4 2'
loop_
_atom_site_label
_atom_site_fract_x
_atom_site_fract_y
_atom_site_fract_z
Nd1 0.0000 0.5000 0.0000
Dy1 0.0000 0.0000 0.5000
Tl1 0.5000 0.5000 0.5000
```


b | VASP calculation (PBE) on a relaxed structure of Nd2DyTl.

The structure in CIF format:
```
data_Nd2DyTl
_cell_length_a 7.9070
_cell_length_b 7.9070
_cell_length_c 7.9070
_cell_angle_alpha 90.00
_cell_angle_beta 90.00
_cell_angle_gamma 90.00
_space_group_name_H-M_alt 'F m -3 m'
_space_group_IT_number 225
_space_group_name_Hall '-F 4 2 3'
loop_
_atom_site_label
_atom_site_fract_x
_atom_site_fract_y
_atom_site_fract_z
Nd1 0.2500 0.2500 0.2500
Dy1 0.0000 0.0000 0.0000
Tl1 0.0000 0.0000 0.5000
```


c | VASP calculation (PBE) on a relaxed structure of Nd2DyTl.

The structure in CIF format:
```
data_Nd2DyTl
_cell_length_a 7.8777
_cell_length_b 7.8777
_cell_length_c 7.8777
_cell_angle_alpha 90.00
_cell_angle_beta 90.00
_cell_angle_gamma 90.00
_space_group_name_H-M_alt 'F -4 3 m'
_space_group_IT_number 216
_space_group_name_Hall 'F -4 2 3'
loop_
_atom_site_label
_atom_site_fract_x
_atom_site_fract_y
_atom_site_fract_z
Nd1 0.0000 0.0000 0.0000
Nd2 0.2500 0.2500 0.2500
Dy1 0.0000 0.0000 0.5000
Tl1 0.2500 0.2500 0.7500
```


Which is most stable, and by how much? a, by 0.130 eV/atom.